KTl4Hg7: relaxed, PBE-GGA.

abc: 5.3854 5.3854 13.9574
angles: 90.00 90.00 120.00
Atoms (fractional coordinates):
Hg  0.3333  0.6667  0.1665
Hg  0.6667  0.3333  0.6044
Hg  0.3333  0.6667  0.3956
Hg  0.0000  0.0000  0.7622
Hg  0.0000  0.0000  0.0000
Hg  0.0000  0.0000  0.2378
Hg  0.6667  0.3333  0.8335
Tl  0.3333  0.6667  0.6608
Tl  0.3333  0.6667  0.9148
Tl  0.6667  0.3333  0.0852
Tl  0.6667  0.3333  0.3392
K  0.0000  0.0000  0.5000

Values from the calculation:
E_tot   -1.12 eV/atom
Fermi-level density of states   0.36 states/eV per atom
Space group   No. 164
Total magnetization   0.00 μB per cell
ΔE_f   -0.065 eV per atom